Record 1
10
Lattice="-0.630 5.714 -4.696 -5.456 -3.540 -3.575 -2.027 1.279 1.828" Properties=species:S:1:pos:R:3 comment="Nb2NiIr2 | Alexandria via LeMat-Bulk | PBE | relaxed" formation_enthalpy_0k_kj_per_mol_atoms=-20 m_tot_mub_per_cell=0.00 mass_density_kg_m3=12579 pbc="T T T"
Nb -4.763 -0.766 -2.261
Ir -1.130 3.148 -3.455
Ir -2.082 -0.531 -1.938
Ni -3.043 1.087 -4.136
Nb -2.139 1.943 -1.246
Ir -4.005 2.704 -6.333
Nb -5.976 1.508 -5.197
Ni 0.000 0.000 0.000
Ir -4.956 -0.975 -4.816
Nb -3.351 4.218 -4.182

=====

Record 2
12
Lattice="-3.797 -0.523 -1.754 1.754 -8.478 -1.267 -1.895 -1.052 4.416" Properties=species:S:1:pos:R:3 comment="NbNiIr | Alexandria via LeMat-Bulk | PBE | relaxed" formation_enthalpy_0k_kj_per_mol_atoms=-39 m_tot_mub_per_cell=0.00 mass_density_kg_m3=12587 pbc="T T T"
Ni -2.846 -0.788 1.331
Ir 0.160 -8.434 2.170
Ir -0.302 -1.095 0.980
Ir -2.615 -4.457 1.926
Ir -1.323 -5.596 -0.531
Nb 0.897 -6.892 0.114
Nb -2.061 -7.139 1.525
Ni 0.877 -4.239 -0.633
Ni -1.899 -0.262 -0.877
Nb -1.039 -2.638 3.036
Nb -1.878 -2.914 -0.130
Ni -0.071 -4.765 1.575

=====

Record 3
10
Lattice="7.117 0.000 0.000 0.000 7.117 0.000 0.000 0.000 2.790" Properties=species:S:1:pos:R:3 comment="NbNi2Ir2 | Alexandria via LeMat-Bulk | PBE | relaxed" formation_enthalpy_0k_kj_per_mol_atoms=-6 m_tot_mub_per_cell=0.00 mass_density_kg_m3=13976 pbc="T T T"
Ni 5.925 2.367 1.395
Ni 2.367 1.192 1.395
Ni 4.751 5.925 1.395
Ir 4.488 0.929 0.000
Ir 0.929 2.629 0.000
Ir 2.629 6.188 0.000
Nb 0.000 0.000 0.000
Ir 6.188 4.488 0.000
Nb 3.559 3.559 0.000
Ni 1.192 4.751 1.395